VASP calculation (PBE-GGA) on BaPdSO after structural relaxation.

a b c (Å): 6.549 9.072 6.408
angles (deg): 90.00 90.00 90.00
Fractional coordinates of all 16 atoms:
Ba 0.009 0.193 0.000
Ba 0.491 0.193 0.500
Ba 0.509 0.807 0.000
Ba 0.991 0.807 0.500
Pd 0.002 0.415 0.534
Pd 0.498 0.415 0.034
Pd 0.502 0.585 0.534
Pd 0.998 0.585 0.034
S 0.020 0.843 0.997
S 0.480 0.843 0.497
S 0.520 0.157 0.997
S 0.980 0.157 0.497
O 0.203 0.432 0.071
O 0.297 0.432 0.571
O 0.703 0.568 0.071
O 0.797 0.568 0.571

Computed properties:
Space group: Pca2_1 (29)
E_tot (eV/atom): -5.1172